# 1
{
  "formula": "BaSb2AuSe4",
  "functional": "GGA-PBE",
  "state": "optimized geometry",
  "e_form_raw_mev_per_atom": -561,
  "dos_at_fermi_per_ev_atom": 0.1034,
  "magnetic_moment_mub_per_cell": 0.00,
  "total_energy_ev_per_fu": -31.87,
  "lattice": [[-4.256, 0.849, 1.558], [0.916, -6.977, -0.519], [5.049, -0.378, 13.999]],
  "species": ["Au", "Se", "Se", "Se", "Ba", "Se", "Au", "Se", "Se", "Se", "Ba", "Sb", "Sb", "Sb", "Sb", "Se"],
  "frac_coords": [[0.879, 0.757, 0.750], [0.733, 0.466, 0.893], [0.267, 0.534, 0.393], [0.267, 0.534, 0.107], [0.862, 0.724, 0.250], [0.452, 0.903, 0.750], [0.121, 0.243, 0.250], [0.000, 0.000, 0.000], [0.733, 0.466, 0.607], [0.000, 0.000, 0.500], [0.138, 0.276, 0.750], [0.376, 0.752, 0.546], [0.376, 0.752, 0.954], [0.624, 0.248, 0.046], [0.624, 0.248, 0.454], [0.548, 0.097, 0.250]]
}


# 2
{
  "formula": "Rb5AgF6",
  "functional": "GGA-PBE",
  "state": "optimized geometry",
  "e_form_raw_mev_per_atom": -2367,
  "dos_at_fermi_per_ev_atom": 0.0000,
  "magnetic_moment_mub_per_cell": 0.00,
  "total_energy_ev_per_fu": -47.32,
  "lattice": [[6.833, 0.131, 0.000], [2.048, 6.542, 0.000], [1.024, 3.271, 6.029]],
  "species": ["Rb", "Rb", "F", "Rb", "F", "Ag", "Rb", "F", "F", "F", "Rb", "F"],
  "frac_coords": [[0.500, 0.500, 0.000], [0.500, 0.163, 0.673], [0.256, 0.582, 0.328], [0.000, 0.329, 0.342], [0.256, 0.910, 0.672], [0.000, 0.000, 0.000], [0.000, 0.671, 0.658], [0.744, 0.090, 0.328], [0.789, 0.784, 0.000], [0.211, 0.216, 0.000], [0.500, 0.837, 0.327], [0.744, 0.418, 0.672]]
}


# 3
{
  "formula": "Rb2BeBr",
  "functional": "GGA-PBE",
  "state": "optimized geometry",
  "e_form_raw_mev_per_atom": -57,
  "dos_at_fermi_per_ev_atom": 0.0383,
  "magnetic_moment_mub_per_cell": 2.00,
  "total_energy_ev_per_fu": -7.56,
  "polymorph_energy_ev_per_atom": 0.0000,
  "lattice": [[-0.550, -6.663, -6.389], [9.231, -0.312, -0.469], [4.403, -6.754, -0.028]],
  "species": ["Rb", "Rb", "Br", "Rb", "Br", "Be", "Be", "Rb"],
  "frac_coords": [[0.875, 0.897, 0.750], [0.375, 0.353, 0.750], [0.000, 0.000, 0.000], [0.103, 0.625, 0.250], [0.750, 0.250, 0.500], [0.500, 0.500, 0.000], [0.250, 0.750, 0.500], [0.647, 0.125, 0.250]]
}